A relaxed Ac2SbC crystal. Source: Alexandria via LeMat-Bulk, functional PBE-GGA.

Unit cell a=5.4008 b=5.4008 c=3.9232 alpha=90.00 beta=90.00 gamma=90.00
Closest atoms and distances in Å follow each position.
Space group P4/mmm (No. 123)
Unique sites:
Ac 0.0000 0.5000 0.0000 [2 per cell]  4 C 3.34, 4 Sb 3.34
Sb 0.0000 0.0000 0.5000 [1 per cell]  8 Ac 3.34
C 0.5000 0.5000 0.5000 [1 per cell]  8 Ac 3.34

Properties
The energy is -20.24 eV per cell. As for the formation energy from raw total energies: 1.3 eV/f.u. The value obtained for the density of states at the Fermi level is 2.454 states/eV per cell.


A relaxed AcScC crystal. Source: Alexandria via LeMat-Bulk, functional PBE-GGA.

Unit cell a=7.3486 b=7.1703 c=6.2648 alpha=90.00 beta=113.93 gamma=90.00
Closest atoms and distances in Å follow each position.
Space group P2_1/c (No. 14)
Unique sites:
Ac 0.2396 0.1086 0.3086 [4 per cell]  3 C 2.73-2.78
Sc 0.3511 0.6344 0.3357 [4 per cell]  3 C 2.27-2.28
C 0.4945 0.1283 0.7689 [4 per cell]  3 Sc 2.27-2.28

Properties
The energy is -80.05 eV per cell. The value obtained for the density of states at the Fermi level is 10.829 states/eV per cell. The calculation puts the energy relative to the elements at -116 meV/atom. For the distance to the lowest polymorph of the same formula, the calculation gives 0.000 eV per atom.


A relaxed AcScC crystal. Source: Alexandria via LeMat-Bulk, functional PBE-GGA.

Unit cell a=3.6221 b=3.6221 c=6.5008 alpha=90.00 beta=90.00 gamma=120.00
Closest atoms and distances in Å follow each position.
Space group P3m1 (No. 156)
Unique sites:
Ac 0.0000 0.0000 0.0000 [1 per cell]  3 C 2.74
Sc 0.3333 0.6667 0.4170 [1 per cell]  3 C 2.29
C 0.6667 0.3333 0.2724 [1 per cell]  3 Sc 2.29

Properties
The energy is -19.76 eV per cell. The value obtained for the density of states at the Fermi level is 2.901 states/eV per cell. The calculation puts the energy relative to the elements at -33 meV/atom. For the distance to the lowest polymorph of the same formula, the calculation gives 0.083 eV per atom.


A relaxed AcSc2C crystal. Source: Alexandria via LeMat-Bulk, functional PBE-GGA.

Unit cell a=3.4269 b=3.4269 c=28.7956 alpha=90.00 beta=90.00 gamma=120.00
Closest atoms and distances in Å follow each position.
Space group R-3m (No. 166, hexagonal axes)
Unique sites:
Ac 0.0000 0.0000 0.0000 [3 per cell]  6 Ac 3.43, 2 Sc 3.60
Sc 0.0000 0.0000 0.1250 [6 per cell]  3 C 2.31
C 0.0000 0.0000 0.5000 [3 per cell]  6 Sc 2.31

Properties
The energy is -79.41 eV per cell. The value obtained for the density of states at the Fermi level is 15.071 states/eV per cell. The calculation puts the energy relative to the elements at -118 meV/atom.


A relaxed Ac2ScC crystal. Source: Alexandria via LeMat-Bulk, functional PBE-GGA.

Unit cell a=3.9795 b=3.9795 c=30.7078 alpha=90.00 beta=90.00 gamma=120.00
Closest atoms and distances in Å follow each position.
Space group R-3m (No. 166, hexagonal axes)
Unique sites:
Ac 0.0000 0.0000 0.0767 [6 per cell]  1 C 2.35
Sc 0.0000 0.0000 0.5000 [3 per cell]  6 Ac 3.59, 6 Sc 3.98
C 0.0000 0.0000 0.0000 [3 per cell]  2 Ac 2.35

Properties
The energy is -57.23 eV per cell. The value obtained for the density of states at the Fermi level is 15.984 states/eV per cell. The calculation puts the energy relative to the elements at 1174 meV/atom.


A relaxed AcSc3C crystal. Source: Alexandria via LeMat-Bulk, functional PBE-GGA.

Unit cell a=4.8018 b=4.8018 c=4.8018 alpha=90.00 beta=90.00 gamma=90.00
Closest atoms and distances in Å follow each position.
Space group Pm-3m (No. 221)
Unique sites:
Ac 0.0000 0.0000 0.0000 [1 per cell]  12 Sc 3.40
Sc 0.0000 0.5000 0.5000 [3 per cell]  2 C 2.40
C 0.5000 0.5000 0.5000 [1 per cell]  6 Sc 2.40

Properties
The energy is -32.26 eV per cell. The value obtained for the density of states at the Fermi level is 6.935 states/eV per cell. The calculation puts the energy relative to the elements at 14 meV/atom.


A relaxed Ac4CSe3 crystal. Source: Alexandria via LeMat-Bulk, functional PBE-GGA.

Unit cell a=7.7069 b=8.8417 c=7.4758 alpha=90.00 beta=109.43 gamma=90.00
Closest atoms and distances in Å follow each position.
Space group P2/c (No. 13)
Unique sites:
Ac 0.2159 0.1078 0.0025 [4 per cell]  2 C 2.88-2.95, 2 Se 3.12-3.15
Ac 0.2306 0.3481 0.4758 [4 per cell]  1 C 2.77, 2 Se 3.09-3.10
C 0.0000 0.1315 0.2500 [2 per cell]  6 Ac 2.77-2.95
Se 0.0000 0.3778 0.7500 [2 per cell]  6 Ac 3.14-3.15
Se 0.5000 0.1246 0.7500 [2 per cell]  6 Ac 3.10-3.34
Se 0.5000 0.3774 0.2500 [2 per cell]  6 Ac 3.09-3.40

Properties
The energy is -94.44 eV per cell. As for the formation energy from raw total energies: -11.1 eV/f.u. The value obtained for the density of states at the Fermi level is 7.482 states/eV per cell.


A relaxed AcCSe crystal. Source: Alexandria via LeMat-Bulk, functional PBE-GGA.

Unit cell a=4.7313 b=6.0358 c=7.7558 alpha=67.30 beta=77.22 gamma=89.99
Closest atoms and distances in Å follow each position.
Space group P-1 (No. 2)
Unique sites:
Ac 0.1784 0.1525 0.1969 [2 per cell]  2 C 2.77-2.81, 2 Se 3.10
C 0.3643 0.9819 0.5356 [2 per cell]  1 C 1.26
Se 0.2132 0.7027 0.0956 [2 per cell]  4 Ac 3.10-3.13

Properties
The energy is -39.50 eV per cell. As for the formation energy from raw total energies: -2.9 eV/f.u. The value obtained for the density of states at the Fermi level is 0.000 states/eV per cell.


A relaxed Ac3CSe2 crystal. Source: Alexandria via LeMat-Bulk, functional PBE-GGA.

Unit cell a=8.8072 b=12.3391 c=25.7812 alpha=90.00 beta=90.00 gamma=90.00
Closest atoms and distances in Å follow each position.
Space group Fddd (No. 70, origin choice 2)
Unique sites:
Ac 0.0894 0.3750 0.3750 [16 per cell]  2 C 2.88, 2 Se 3.10
Ac 0.1094 0.3593 0.2151 [32 per cell]  2 C 2.84-2.90, 2 Se 3.13-3.17
C 0.1250 0.1250 0.0405 [16 per cell]  6 Ac 2.84-2.90
Se 0.1250 0.1250 0.3782 [16 per cell]  6 Ac 3.10-3.24
Se 0.1250 0.1250 0.5457 [16 per cell]  6 Ac 3.13-3.29

Properties
The energy is -573.95 eV per cell. As for the formation energy from raw total energies: -7.4 eV/f.u. The value obtained for the density of states at the Fermi level is 22.458 states/eV per cell.


A relaxed Ac2CSe crystal. Source: Alexandria via LeMat-Bulk, functional PBE-GGA.

Unit cell a=4.1994 b=4.1994 c=21.9682 alpha=90.00 beta=90.00 gamma=120.00
Closest atoms and distances in Å follow each position.
Space group R-3m (No. 166, hexagonal axes)
Unique sites:
Ac 0.0000 0.0000 0.2360 [6 per cell]  3 C 2.86
C 0.0000 0.0000 0.5000 [3 per cell]  6 Ac 2.86
Se 0.0000 0.0000 0.0000 [3 per cell]  6 Ac 3.23

Properties
The energy is -72.95 eV per cell. As for the formation energy from raw total energies: -3.4 eV/f.u. The value obtained for the density of states at the Fermi level is 8.814 states/eV per cell.


A relaxed Ac4Te2CSe crystal. Source: Alexandria via LeMat-Bulk, functional PBE-GGA.

Unit cell a=7.7687 b=4.3971 c=8.0543 alpha=90.00 beta=108.14 gamma=90.00
Closest atoms and distances in Å follow each position.
Space group P2/m (No. 10)
Unique sites:
Ac 0.2119 0.0000 0.2028 [2 per cell]  2 C 2.92, 1 Se 3.15
Ac 0.2342 0.5000 0.7874 [2 per cell]  1 C 2.86, 2 Se 3.13
Te 0.0000 0.0000 0.5000 [1 per cell]  6 Ac 3.30
Te 0.5000 0.5000 0.5000 [1 per cell]  6 Ac 3.50-3.55
C 0.0000 0.5000 0.0000 [1 per cell]  6 Ac 2.86-2.92
Se 0.5000 0.0000 0.0000 [1 per cell]  6 Ac 3.13-3.15

Properties
The energy is -44.89 eV per cell. As for the formation energy from raw total energies: -9.5 eV/f.u. The value obtained for the density of states at the Fermi level is 2.971 states/eV per cell.


A relaxed AcThCSe crystal. Source: Alexandria via LeMat-Bulk, functional PBE-GGA.

Unit cell a=3.9828 b=3.9828 c=21.9680 alpha=90.00 beta=90.00 gamma=120.00
Closest atoms and distances in Å follow each position.
Space group R3m (No. 160, hexagonal axes)
Unique sites:
Ac 0.0000 0.0000 0.0000 [3 per cell]  3 C 2.90
Th 0.0000 0.0000 0.8014 [3 per cell]  3 C 2.59
C 0.0000 0.0000 0.4141 [3 per cell]  3 Th 2.59
Se 0.0000 0.0000 0.2286 [3 per cell]  3 Th 3.09, 3 Ac 3.25

Properties
The energy is -84.15 eV per cell. As for the formation energy from raw total energies: -3.8 eV/f.u. The value obtained for the density of states at the Fermi level is 6.525 states/eV per cell.